Entry 1:
LaYBr2 GGA-PBE relaxed; crystal system = trigonal; uncorrected formation energy = -1.124 eV/atom; energy relative to the lowest polymorph listed for this composition = 0.097 eV/atom
1.0
2.1908 0.0000 10.1831
-1.0954 1.8973 10.1831
-1.0954 -1.8973 10.1831
Y Br La
1 2 1
Direct
0.0000 0.0000 0.0000
0.0938 0.0938 0.0938
0.9062 0.9062 0.9062
0.5000 0.5000 0.5000

Entry 2:
La5Nd5Er2 GGA-PBE relaxed; crystal system = monoclinic; ΔH_f (0 K) = 0.020 eV/atom
1.0
5.0882 0.0000 1.1479
2.7102 10.6370 -0.1620
0.8456 -1.3906 8.1025
La Nd Er
5 5 2
Direct
0.0049 0.7455 0.2448
0.6644 0.2542 0.4170
0.3356 0.7458 0.5830
0.9951 0.2545 0.7552
0.0000 0.0000 0.0000
0.6695 0.7448 0.9161
0.0000 0.5000 0.5000
0.6678 0.9992 0.6651
0.3322 0.0008 0.3349
0.3305 0.2552 0.0839
0.3316 0.5001 0.8368
0.6684 0.4999 0.1632

Entry 3:
LaNd3Se6 GGA-PBE relaxed; crystal system = monoclinic; uncorrected formation energy = -1.757 eV/atom; energy relative to the lowest polymorph listed for this composition = 0.162 eV/atom
1.0
7.3495 0.1171 0.0828
3.6269 6.9542 0.0651
3.6269 2.3854 6.5326
Nd Se La
3 6 1
Direct
0.3121 0.2496 0.2496
0.0000 0.0000 0.0000
0.6879 0.7504 0.7504
0.6585 0.8439 0.3435
0.9243 0.2466 0.2466
0.3415 0.1561 0.6565
0.3415 0.6565 0.1561
0.0757 0.7534 0.7534
0.6585 0.3435 0.8439
0.5000 0.5000 0.5000

no.,magnetic moment (μB per cell)
1,0.00
2,0.00
3,0.00